# 1
# LiLaTa2Pt

LiLaTa2Pt at its PBEsol-relaxed geometry (SCAN, the Alexandria database).

Lattice parameters (Å, degrees): 4.921 4.921 5.620 90.00 90.00 90.00
Fractional coordinates of all 5 atoms:
Li 0.000 0.000 0.000
La 0.500 0.500 0.000
Ta 0.000 0.500 0.500
Ta 0.500 0.000 0.500
Pt 0.500 0.500 0.500

Results
**Raw total energy**: -3.609 Ry/atom
**Crystal system**: tetragonal
**Fermi-level density of states**: 1.32 states/eV/atom

=====

# 2
# LiSiNi2

LiSiNi2 at its PBEsol-relaxed geometry (SCAN, the Alexandria database).

Lattice parameters (Å, degrees): 2.675 2.675 6.283 90.00 90.00 90.00
Fractional coordinates of all 4 atoms:
Li 0.000 0.000 0.000
Si 0.000 0.000 0.500
Ni 0.500 0.500 0.285
Ni 0.500 0.500 0.715

Results
**Crystal system**: tetragonal
**Energy relative to the elements, uncorrected**: -365 meV per atom
**Fermi-level density of states**: 0.39 states/eV/atom

=====

# 3
# SrZr2Tl

SrZr2Tl at its PBEsol-relaxed geometry (SCAN, the Alexandria database).

Lattice parameters (Å, degrees): 3.295 3.295 9.697 90.00 90.00 90.00
Fractional coordinates of all 4 atoms:
Sr 0.000 0.000 0.000
Zr 0.000 0.000 0.482
Zr 0.500 0.500 0.692
Tl 0.500 0.500 0.256

Results
**Crystal system**: tetragonal
**Distance to the lowest polymorph of the same formula**: 0 meV per atom
**Fermi-level density of states**: 0.75 states/eV/atom

=====

# 4
# Cd2TcHg

Cd2TcHg at its PBEsol-relaxed geometry (SCAN, the Alexandria database).

Lattice parameters (Å, degrees): 6.609 6.609 6.609 90.00 90.00 90.00
Fractional coordinates of all 16 atoms:
Cd 0.000 0.000 0.000
Cd 0.000 0.500 0.500
Cd 0.250 0.250 0.250
Cd 0.250 0.750 0.750
Cd 0.500 0.000 0.500
Cd 0.500 0.500 0.000
Cd 0.750 0.250 0.750
Cd 0.750 0.750 0.250
Tc 0.000 0.000 0.500
Tc 0.000 0.500 0.000
Tc 0.500 0.000 0.000
Tc 0.500 0.500 0.500
Hg 0.250 0.250 0.750
Hg 0.250 0.750 0.250
Hg 0.750 0.250 0.250
Hg 0.750 0.750 0.750

Results
**Raw total energy**: -2.977 Ry/atom
**Crystal system**: cubic
**Fermi-level density of states**: 0.75 states/eV/atom

=====

# 5
# SrLa3Fe

SrLa3Fe at its PBEsol-relaxed geometry (SCAN, the Alexandria database).

Lattice parameters (Å, degrees): 5.667 5.667 5.667 90.00 90.00 90.00
Fractional coordinates of all 5 atoms:
Sr 0.000 0.000 0.000
La 0.000 0.000 0.500
La 0.000 0.500 0.000
La 0.500 0.000 0.000
Fe 0.500 0.500 0.500

Results
**Crystal system**: cubic
**Distance to the lowest polymorph of the same formula**: 1282 meV per atom
**Fermi-level density of states**: 1.87 states/eV/atom

=====

# 6
# ScBeNi

ScBeNi at its PBEsol-relaxed geometry (SCAN, the Alexandria database).

Lattice parameters (Å, degrees): 3.795 3.795 3.286 90.00 90.00 120.00
Fractional coordinates of all 3 atoms:
Sc 0.000 0.000 0.000
Be 0.667 0.333 0.500
Ni 0.333 0.667 0.500

Results
**Crystal system**: hexagonal
**Distance to the lowest polymorph of the same formula**: 0 meV per atom
**Fermi-level density of states**: 0.66 states/eV/atom

=====

# 7
# Tm3Pb

Tm3Pb at its PBEsol-relaxed geometry (SCAN, the Alexandria database).

Lattice parameters (Å, degrees): 4.709 4.709 4.709 90.00 90.00 90.00
Fractional coordinates of all 4 atoms:
Tm 0.000 0.000 0.500
Tm 0.000 0.500 0.000
Tm 0.500 0.000 0.000
Pb 0.500 0.500 0.500

Results
**Raw total energy**: -4.278 Ry/atom
**Crystal system**: cubic
**Fermi-level density of states**: 1.08 states/eV/atom

=====

# 8
# YCuRe2

YCuRe2 at its PBEsol-relaxed geometry (SCAN, the Alexandria database).

Lattice parameters (Å, degrees): 2.636 4.124 6.140 90.00 90.00 90.00
Fractional coordinates of all 4 atoms:
Y 0.000 0.000 0.000
Cu 0.000 0.000 0.500
Re 0.500 0.500 0.302
Re 0.500 0.500 0.698

Results
**Crystal system**: orthorhombic
**Distance to the lowest polymorph of the same formula**: 176 meV per atom
**Fermi-level density of states**: 0.70 states/eV/atom

=====

# 9
# Cd2TcOs

Cd2TcOs at its PBEsol-relaxed geometry (SCAN, the Alexandria database).

Lattice parameters (Å, degrees): 2.864 4.815 9.765 90.00 90.00 90.00
Fractional coordinates of all 8 atoms:
Cd 0.000 0.000 0.000
Cd 0.000 0.500 0.224
Cd 0.500 0.000 0.724
Cd 0.500 0.500 0.500
Tc 0.000 0.000 0.464
Tc 0.500 0.500 0.964
Os 0.000 0.500 0.756
Os 0.500 0.000 0.256

Results
**Crystal system**: orthorhombic
**Distance to the lowest polymorph of the same formula**: 0 meV per atom
**Fermi-level density of states**: 0.58 states/eV/atom

=====

# 10
# ZnCd3Pb

ZnCd3Pb at its PBEsol-relaxed geometry (SCAN, the Alexandria database).

Lattice parameters (Å, degrees): 5.611 5.611 5.611 90.00 90.00 90.00
Fractional coordinates of all 5 atoms:
Zn 0.000 0.000 0.000
Cd 0.000 0.500 0.500
Cd 0.500 0.000 0.500
Cd 0.500 0.500 0.000
Pb 0.500 0.500 0.500

Results
**Raw total energy**: -2.612 Ry/atom
**Crystal system**: cubic
**Fermi-level density of states**: 0.29 states/eV/atom

=====

# 11
# LiErS2

LiErS2 at its PBEsol-relaxed geometry (SCAN, the Alexandria database).

Lattice parameters (Å, degrees): 3.826 3.826 5.224 90.00 90.00 90.00
Fractional coordinates of all 4 atoms:
Li 0.000 0.000 0.000
Er 0.500 0.500 0.500
S 0.000 0.000 0.500
S 0.500 0.500 0.000

Results
**Crystal system**: tetragonal
**Energy relative to the elements, uncorrected**: -2024 meV per atom

=====

# 12
# CoTc2Rh

CoTc2Rh at its PBEsol-relaxed geometry (SCAN, the Alexandria database).

Lattice parameters (Å, degrees): 2.629 4.192 4.633 90.00 90.00 90.00
Fractional coordinates of all 4 atoms:
Co 0.000 0.000 0.000
Tc 0.500 0.000 0.489
Tc 0.500 0.500 0.159
Rh 0.000 0.500 0.675

Results
**Crystal system**: orthorhombic
**Distance to the lowest polymorph of the same formula**: 0 meV per atom
**Fermi-level density of states**: 0.57 states/eV/atom

=====

# 13
# KLa2As2

KLa2As2 at its PBEsol-relaxed geometry (SCAN, the Alexandria database).

Lattice parameters (Å, degrees): 8.497 8.497 3.744 90.00 90.00 90.00
Fractional coordinates of all 10 atoms:
K 0.000 0.000 0.000
K 0.500 0.500 0.000
La 0.135 0.365 0.000
La 0.365 0.865 0.000
La 0.635 0.135 0.000
La 0.865 0.635 0.000
As 0.163 0.663 0.500
As 0.337 0.163 0.500
As 0.663 0.837 0.500
As 0.837 0.337 0.500

Results
**Crystal system**: tetragonal
**Distance to the lowest polymorph of the same formula**: 0 meV per atom
**Fermi-level density of states**: 0.41 states/eV/atom

=====

# 14
# Li4Mn3Sn3Te2O16

Li4Mn3Sn3Te2O16 at its PBEsol-relaxed geometry (SCAN, the Alexandria database).

Lattice parameters (Å, degrees): 6.159 6.159 10.178 90.21 90.21 60.49
Fractional coordinates of all 28 atoms:
Li 0.000 0.000 0.000
Li 0.003 0.003 0.491
Li 0.318 0.318 0.090
Li 0.663 0.663 0.580
Mn 0.164 0.164 0.776
Mn 0.326 0.826 0.275
Mn 0.826 0.326 0.275
Sn 0.166 0.662 0.771
Sn 0.662 0.166 0.771
Sn 0.824 0.824 0.271
Te 0.322 0.322 0.497
Te 0.640 0.640 0.004
O 0.001 0.001 0.671
O 0.006 0.006 0.182
O 0.038 0.486 0.638
O 0.151 0.697 0.378
O 0.162 0.162 0.405
O 0.310 0.830 0.897
O 0.329 0.329 0.879
O 0.486 0.038 0.638
O 0.493 0.958 0.163
O 0.495 0.495 0.666
O 0.502 0.502 0.128
O 0.648 0.648 0.371
O 0.697 0.151 0.378
O 0.830 0.310 0.897
O 0.846 0.846 0.879
O 0.958 0.493 0.163

Results
**Crystal system**: monoclinic
**Energy relative to the elements, uncorrected**: -1811 meV per atom
**Fermi-level density of states**: 0.09 states/eV/atom

=====

# 15
# InIrO2

InIrO2 at its PBEsol-relaxed geometry (SCAN, the Alexandria database).

Lattice parameters (Å, degrees): 3.190 3.190 19.369 90.00 90.00 120.00
Fractional coordinates of all 12 atoms:
In 0.000 0.000 0.000
In 0.333 0.667 0.667
In 0.667 0.333 0.333
Ir 0.000 0.000 0.500
Ir 0.333 0.667 0.167
Ir 0.667 0.333 0.833
O 0.000 0.000 0.120
O 0.000 0.000 0.880
O 0.333 0.667 0.546
O 0.333 0.667 0.787
O 0.667 0.333 0.213
O 0.667 0.333 0.454

Results
**Crystal system**: trigonal
**Energy relative to the elements, uncorrected**: -710 meV per atom
**Fermi-level density of states**: 0.50 states/eV/atom

=====

# 16
# CsCrRh2F

CsCrRh2F at its PBEsol-relaxed geometry (SCAN, the Alexandria database).

Lattice parameters (Å, degrees): 4.960 4.960 3.729 90.00 90.00 90.00
Fractional coordinates of all 5 atoms:
Cs 0.000 0.000 0.000
Cr 0.500 0.500 0.000
Rh 0.000 0.500 0.500
Rh 0.500 0.000 0.500
F 0.500 0.500 0.500

Results
**Crystal system**: tetragonal
**Energy relative to the elements, uncorrected**: 579 meV per atom
**Fermi-level density of states**: 0.60 states/eV/atom

=====

# 17
# SrNiOs

SrNiOs at its PBEsol-relaxed geometry (SCAN, the Alexandria database).

Lattice parameters (Å, degrees): 6.392 6.392 6.392 90.00 90.00 90.00
Fractional coordinates of all 12 atoms:
Sr 0.000 0.000 0.000
Sr 0.000 0.500 0.500
Sr 0.500 0.000 0.500
Sr 0.500 0.500 0.000
Ni 0.250 0.250 0.250
Ni 0.250 0.750 0.750
Ni 0.750 0.250 0.750
Ni 0.750 0.750 0.250
Os 0.250 0.250 0.750
Os 0.250 0.750 0.250
Os 0.750 0.250 0.250
Os 0.750 0.750 0.750

Results
**Crystal system**: cubic
**Distance to the lowest polymorph of the same formula**: 1068 meV per atom
**Fermi-level density of states**: 2.13 states/eV/atom

=====

# 18
# HfFeN2O

HfFeN2O at its PBEsol-relaxed geometry (SCAN, the Alexandria database).

Lattice parameters (Å, degrees): 3.663 3.663 3.534 90.00 90.00 90.00
Fractional coordinates of all 5 atoms:
Hf 0.000 0.000 0.000
Fe 0.500 0.500 0.500
N 0.000 0.500 0.500
N 0.500 0.000 0.500
O 0.500 0.500 0.000

Results
**Crystal system**: tetragonal
**Energy relative to the elements, uncorrected**: -705 meV per atom
**Fermi-level density of states**: 0.34 states/eV/atom

=====

# 19
# LaYIn6

LaYIn6 at its PBEsol-relaxed geometry (SCAN, the Alexandria database).

Lattice parameters (Å, degrees): 4.631 4.631 9.234 90.00 90.00 90.00
Fractional coordinates of all 8 atoms:
La 0.000 0.000 0.000
Y 0.000 0.000 0.500
In 0.000 0.500 0.257
In 0.000 0.500 0.743
In 0.500 0.000 0.257
In 0.500 0.000 0.743
In 0.500 0.500 0.000
In 0.500 0.500 0.500

Results
**Raw total energy**: -2.535 Ry/atom
**Crystal system**: tetragonal
**Fermi-level density of states**: 0.47 states/eV/atom

=====

# 20
# CoSbRu2Br

CoSbRu2Br at its PBEsol-relaxed geometry (SCAN, the Alexandria database).

Lattice parameters (Å, degrees): 4.602 4.602 4.223 90.00 90.00 90.00
Fractional coordinates of all 5 atoms:
Co 0.000 0.000 0.000
Sb 0.500 0.500 0.000
Ru 0.000 0.500 0.500
Ru 0.500 0.000 0.500
Br 0.000 0.000 0.500

Results
**Crystal system**: tetragonal
**Energy relative to the elements, uncorrected**: 1336 meV per atom
**Fermi-level density of states**: 0.76 states/eV/atom

=====

no.,calculated density (g cm⁻³)
1,8.6
2,5.6
3,7.5
4,12.0
5,5.1
6,4.6
7,11.4
8,13.1
9,12.7
10,5.7
11,5.2
12,11.6
13,5.7
14,5.2
15,9.9
16,7.4
17,8.6
18,9.7
19,7.7
20,8.6